1:
DFT (PBE) results for an optimized crystal structure of TcHg3F.

Results
* space-group type: No. 221
* calculated density: 7.55 g/cm3
* Fermi-level density of states: 2.7 states/eV per cell

Cell and atoms, written as POSCAR:
```
TcHg3F
1.0
5.4063 0.0000 0.0000
0.0000 5.4063 0.0000
0.0000 0.0000 5.4063
F Hg Tc
1 3 1
Cartesian
2.7032 2.7032 2.7032
0.0000 2.7032 0.0000
0.0000 0.0000 2.7032
2.7032 0.0000 0.0000
0.0000 0.0000 0.0000
```



2:
DFT (PBE) results for an optimized crystal structure of TcHg3F.

Results
* space-group type: No. 221
* calculated density: 11.28 g/cm3
* Fermi-level density of states: 4.5 states/eV per cell

Cell and atoms, written as POSCAR:
```
TcHg3F
1.0
4.7299 0.0000 0.0000
0.0000 4.7299 0.0000
0.0000 0.0000 4.7299
F Hg Tc
1 3 1
Cartesian
0.0000 0.0000 0.0000
0.0000 2.3650 0.0000
0.0000 0.0000 2.3650
2.3650 0.0000 0.0000
2.3650 2.3650 2.3650
```



Relative stability in meV per atom, measured from the most stable structure: 1 0; 2 209